Compound: SbSe
Source: Alexandria
Functional: PBE
Structure: optimized geometry

Space-group type = I-43m, No. 217
Magnetic moment = 4.08 μB per cell
Uncorrected formation energy = 0.180 eV/atom
Volume = 58.218 Å³ per atom

abc: 9.7662 9.7662 9.7662
angles: 90.00 90.00 90.00
With the nearest neighbours (Å) after each atom.
Fractional positions:
Sb 0.8542 0.1458 0.1458  3 Se 2.74
Sb 0.6458 0.3542 0.6458  3 Se 2.74
Sb 0.8542 0.8542 0.8542  3 Se 2.74
Sb 0.6458 0.6458 0.3542  3 Se 2.74
Sb 0.1458 0.8542 0.1458  3 Se 2.74
Se 0.6344 0.6344 0.6344  3 Sb 2.74
Se 0.1344 0.1344 0.1344  3 Sb 2.74
Se 0.8656 0.1344 0.8656  3 Sb 2.74
Se 0.3656 0.6344 0.3656  3 Sb 2.74
Sb 0.3542 0.6458 0.6458  3 Se 2.74
Se 0.1344 0.8656 0.8656  3 Sb 2.74
Sb 0.3542 0.3542 0.3542  3 Se 2.74
Se 0.3656 0.3656 0.6344  3 Sb 2.74
Se 0.8656 0.8656 0.1344  3 Sb 2.74
Sb 0.1458 0.1458 0.8542  3 Se 2.74
Se 0.6344 0.3656 0.3656  3 Sb 2.74

Compound: PmHo4Tm
Source: Alexandria
Functional: PBE
Structure: optimized geometry

Space-group type = C2/m, No. 12
Magnetic moment = 0.00 μB per cell
E_form = 741.1 meV/atom
Volume = 37.473 Å³ per atom

abc: 5.4121 5.4121 9.4020
angles: 106.67 106.67 59.91
With the nearest neighbours (Å) after each atom.
Fractional positions:
Ho 0.6238 0.6238 0.8700  1 Tm 3.28, 3 Pm 3.33
Tm 0.5000 0.5000 0.5000  8 Ho 3.28-3.31
Ho 0.8736 0.8736 0.6212  3 Tm 3.30-3.31, 1 Pm 3.36
Ho 0.1264 0.1264 0.3788  3 Tm 3.30-3.31, 1 Pm 3.36
Ho 0.3762 0.3762 0.1300  1 Tm 3.28, 3 Pm 3.33
Pm 0.0000 0.0000 0.0000  8 Ho 3.33-3.36

Compound: NaNi3S3
Source: Alexandria
Functional: PBE
Structure: optimized geometry

Space-group type = P6_3/m, No. 176
Magnetic moment = 0.00 μB per cell
Uncorrected formation energy = -0.533 eV/atom
Volume = 16.717 Å³ per atom

abc: 4.1849 8.0360 8.0360
angles: 120.00 90.00 90.00
With the nearest neighbours (Å) after each atom.
Fractional positions:
Ni 0.7500 0.8307 0.0595  4 S 2.22-2.27
S 0.2500 0.9098 0.6494  4 Ni 2.22-2.27
S 0.7500 0.6494 0.7397  4 Ni 2.22-2.27
Ni 0.7500 0.9405 0.7712  4 S 2.22-2.27
Na 0.2500 0.3333 0.6667  3 Ni 3.08, 9 S 3.11-3.34
S 0.7500 0.2603 0.9098  4 Ni 2.22-2.27
S 0.2500 0.7397 0.0902  4 Ni 2.22-2.27
S 0.2500 0.3506 0.2603  4 Ni 2.22-2.27
Ni 0.2500 0.7712 0.8307  4 S 2.22-2.27
Ni 0.7500 0.2288 0.1693  4 S 2.22-2.27
Ni 0.2500 0.1693 0.9405  4 S 2.22-2.27
Ni 0.2500 0.0595 0.2288  4 S 2.22-2.27
Na 0.7500 0.6667 0.3333  3 Ni 3.08, 9 S 3.11-3.34
S 0.7500 0.0902 0.3506  4 Ni 2.22-2.27

Compound: CoAg2Pb2
Source: Alexandria
Functional: PBE
Structure: optimized geometry

Space-group type = I4/mmm, No. 139
Magnetic moment = 1.27 μB per cell
E_form = 481.7 meV/atom
Volume = 22.843 Å³ per atom

abc: 3.6825 3.6825 8.8156
angles: 77.94 77.94 90.00
With the nearest neighbours (Å) after each atom.
Fractional positions:
Co 0.0000 0.0000 0.0000  8 Pb 3.04
Pb 0.4064 0.4064 0.1873  4 Co 3.04, 1 Pb 3.15, 4 Ag 3.21
Pb 0.5936 0.5936 0.8127  4 Co 3.04, 1 Pb 3.15, 4 Ag 3.21
Ag 0.7500 0.2500 0.5000  4 Ag 2.60
Ag 0.2500 0.7500 0.5000  4 Ag 2.60

Compound: Mg2As2Rh3
Source: Alexandria
Functional: PBE
Structure: optimized geometry

Space-group type = P-1, No. 2
Magnetic moment = 0.00 μB per cell
E_form = -485.0 meV/atom
Volume = 16.204 Å³ per atom

abc: 4.3368 4.2735 7.4583
angles: 89.74 106.52 119.80
With the nearest neighbours (Å) after each atom.
Fractional positions:
Rh 0.5241 0.2612 0.7928  4 As 2.49-2.72
Rh 0.4759 0.7388 0.2072  4 As 2.49-2.72
Rh 0.0000 0.0000 0.0000  6 As 2.74-2.85, 2 Mg 2.76, 6 Rh 2.87-2.89
Mg 0.2618 0.1305 0.3913  5 Rh 2.76-2.83, 3 As 2.89-2.94, 3 Mg 2.92-2.93
As 0.7940 0.3990 0.1779  6 Rh 2.49-2.77
Mg 0.7382 0.8695 0.6087  5 Rh 2.76-2.83, 3 As 2.89-2.94, 3 Mg 2.92-2.93
As 0.2060 0.6010 0.8221  6 Rh 2.49-2.77

Compound: Ac2Cu5Ni
Source: Alexandria
Functional: PBE
Structure: optimized geometry

Space-group type = Cmcm, No. 63
Magnetic moment = 0.00 μB per cell
E_form = -119.9 meV/atom
Volume = 19.547 Å³ per atom

abc: 4.2815 8.4406 8.9469
angles: 90.00 90.00 104.69
With the nearest neighbours (Å) after each atom.
Fractional positions:
Cu 0.3494 0.6988 0.5156  3 Cu 2.47-2.54, 1 Ni 2.54
Cu 0.6506 0.3012 0.0156  3 Cu 2.47-2.54, 1 Ni 2.54
Cu 0.3494 0.6988 0.9844  3 Cu 2.47-2.54, 1 Ni 2.54
Ni 0.5624 0.1247 0.2500  3 Cu 2.54-2.57
Ac 0.0000 0.0000 0.0000  6 Cu 3.05-3.26, 4 Ni 3.26
Cu 0.8239 0.6478 0.1143  3 Cu 2.43-2.47
Cu 0.1761 0.3522 0.8857  3 Cu 2.43-2.47
Ac 0.0000 0.0000 0.5000  6 Cu 3.05-3.26, 4 Ni 3.26
Cu 0.4048 0.8095 0.2500  6 Cu 2.54-2.79, 1 Ni 2.57
Cu 0.6506 0.3012 0.4844  3 Cu 2.47-2.54, 1 Ni 2.54
Ac 0.2048 0.4095 0.2500  13 Cu 3.12-3.35, 2 Ni 3.16
Cu 0.1761 0.3522 0.6143  3 Cu 2.43-2.47
Cu 0.8239 0.6478 0.3857  3 Cu 2.43-2.47
Ni 0.4376 0.8753 0.7500  3 Cu 2.54-2.57
Ac 0.7952 0.5905 0.7500  13 Cu 3.12-3.35, 2 Ni 3.16
Cu 0.5952 0.1905 0.7500  6 Cu 2.54-2.79, 1 Ni 2.57

Compound: BaRe2Au
Source: Alexandria
Functional: PBE
Structure: optimized geometry

Space-group type = Imm2, No. 44
Magnetic moment = 0.22 μB per cell
E_form = 879.2 meV/atom
Volume = 25.046 Å³ per atom

abc: 6.0011 6.0011 6.0011
angles: 146.33 122.00 68.77
With the nearest neighbours (Å) after each atom.
Fractional positions:
Re 0.7669 0.2669 0.5000  2 Re 2.35
Au 0.5501 0.5501 0.0000  2 Re 2.76
Re 0.9272 0.9272 0.0000  2 Re 2.35
Ba 0.2558 0.7558 0.5000  8 Re 3.37-3.69, 4 Au 3.39-3.55, 2 Ba 3.48

Compound: SrAc
Source: Alexandria
Functional: PBE
Structure: optimized geometry

Space-group type = Pmmn, No. 59
Magnetic moment = 0.00 μB per cell
E_form = 64.4 meV/atom
Volume = 48.551 Å³ per atom

abc: 4.0164 5.8734 8.2326
angles: 90.00 89.99 90.00
With the nearest neighbours (Å) after each atom.
Fractional positions:
Sr 0.7497 0.2500 0.3687  6 Ac 3.94-4.29, 6 Sr 4.02-4.16
Ac 0.2498 0.7500 0.1104  6 Sr 3.94-4.29, 6 Ac 3.99-4.02
Sr 0.2503 0.7500 0.6313  6 Ac 3.94-4.29, 6 Sr 4.02-4.16
Ac 0.7502 0.2500 0.8896  6 Sr 3.94-4.29, 6 Ac 3.99-4.02

Compound: Sr4ZrAs
Source: Alexandria
Functional: PBE
Structure: optimized geometry

Space-group type = F-43m, No. 216
Magnetic moment = 3.94 μB per cell
E_form = 693.9 meV/atom
Volume = 38.280 Å³ per atom

abc: 6.8740 6.8740 6.8740
angles: 60.00 60.00 60.00
With the nearest neighbours (Å) after each atom.
Fractional positions:
As 0.0000 0.0000 0.0000  12 Sr 4.03, 4 Zr 4.21
Sr 0.3751 0.8748 0.3751  6 Sr 3.44
Sr 0.8748 0.3751 0.3751  6 Sr 3.44
Sr 0.3751 0.3751 0.8748  6 Sr 3.44
Zr 0.7500 0.7500 0.7500  12 Sr 4.03, 4 As 4.21
Sr 0.3751 0.3751 0.3751  6 Sr 3.44

Compound: Mn2CrBiPb
Source: Alexandria
Functional: PBE
Structure: optimized geometry

Space-group type = P4/mmm, No. 123
Magnetic moment = 5.16 μB per cell
E_form = 784.0 meV/atom
Volume = 23.601 Å³ per atom

abc: 4.7955 5.1312 4.7955
angles: 90.00 90.00 90.00
With the nearest neighbours (Å) after each atom.
Fractional positions:
Mn 0.5000 0.0000 0.0000  2 Cr 2.40
Bi 0.0000 0.5000 0.0000  2 Cr 2.57
Cr 0.0000 0.0000 0.0000  4 Mn 2.40, 2 Bi 2.57
Pb 0.5000 0.5000 0.5000  4 Bi 3.39, 8 Mn 3.51
Mn 0.0000 0.0000 0.5000  2 Cr 2.40

Compound: Sr6GaSn2
Source: Alexandria
Functional: PBE
Structure: optimized geometry

Space-group type = P2_1/c, No. 14
Magnetic moment = 1.26 μB per cell
E_form = -372.7 meV/atom
Volume = 41.066 Å³ per atom

abc: 7.4388 9.0689 10.9847
angles: 90.00 85.94 90.00
With the nearest neighbours (Å) after each atom.
Fractional positions:
Ga 0.0000 0.0000 0.5000  6 Sr 3.13-3.22
Sr 0.1546 0.3248 0.4371  1 Ga 3.22, 2 Sn 3.44-3.45
Sr 0.1397 0.3251 0.0610  1 Ga 3.15, 1 Sn 3.48
Sr 0.6397 0.1749 0.5610  1 Ga 3.15, 1 Sn 3.48
Sr 0.3454 0.8248 0.0629  1 Ga 3.22, 2 Sn 3.44-3.45
Sn 0.5600 0.8773 0.7578  7 Sr 3.44-3.64
Sr 0.1359 0.0349 0.7621  1 Ga 3.13, 2 Sn 3.44-3.46
Sr 0.6359 0.4651 0.2621  1 Ga 3.13, 2 Sn 3.44-3.46
Sr 0.3641 0.5349 0.7379  1 Ga 3.13, 2 Sn 3.44-3.46
Sr 0.3603 0.8251 0.4390  1 Ga 3.15, 1 Sn 3.48
Sn 0.0600 0.6227 0.2578  7 Sr 3.44-3.64
Sn 0.9400 0.3773 0.7422  7 Sr 3.44-3.64
Sr 0.8454 0.6752 0.5629  1 Ga 3.22, 2 Sn 3.44-3.45
Sn 0.4400 0.1227 0.2422  7 Sr 3.44-3.64
Sr 0.6546 0.1752 0.9371  1 Ga 3.22, 2 Sn 3.44-3.45
Ga 0.5000 0.5000 0.0000  6 Sr 3.13-3.22
Sr 0.8641 0.9651 0.2379  1 Ga 3.13, 2 Sn 3.44-3.46
Sr 0.8603 0.6749 0.9390  1 Ga 3.15, 1 Sn 3.48

Compound: CrOs2Se
Source: Alexandria
Functional: PBE
Structure: optimized geometry

Space-group type = Imm2, No. 44
Magnetic moment = 0.49 μB per cell
Uncorrected formation energy = 0.506 eV/atom
Volume = 14.025 Å³ per atom

abc: 5.1286 5.1286 5.1286
angles: 147.00 129.55 61.61
With the nearest neighbours (Å) after each atom.
Fractional positions:
Cr 0.2747 0.7747 0.5000  2 Se 2.43, 4 Os 2.66
Os 0.0004 0.0004 0.0000  4 Se 2.63, 4 Os 2.80-2.91, 2 Cr 2.82
Se 0.4959 0.4959 0.0000  2 Cr 2.43, 6 Os 2.52-2.63
Os 0.7290 0.2290 0.5000  2 Se 2.52, 4 Cr 2.66, 2 Os 2.80